Material: CaZr2Br
Method: DFT, GGA-PBEsol
State: relaxed

Geometry as POSCAR:
```
CaZr2Br
1.0
1.636 0.945 10.270
-1.636 0.945 10.270
0.000 -1.890 10.270
Ca Zr Br
1 2 1
Direct
0.000 0.000 0.000
0.239 0.239 0.239
0.761 0.761 0.761
0.500 0.500 0.500
```

Output
E above lowest polymorph, kJ/mol of formula units: 51
ΔE_f (raw), eV/atom: -0.041
Symmetry: R-3m

***

Material: K2AsAu
Method: DFT, GGA-PBEsol
State: relaxed

Geometry as POSCAR:
```
K2AsAu
1.0
4.617 0.000 0.000
0.000 2.657 5.306
0.000 -2.657 5.306
K As Au
2 1 1
Direct
0.000 0.000 0.000
0.500 0.298 0.298
0.000 0.686 0.686
0.500 0.612 0.612
```

Output
Symmetry: Amm2

***

Material: Sr3AsSe
Method: DFT, GGA-PBEsol
State: relaxed

Geometry as POSCAR:
```
Sr3AsSe
1.0
5.687 0.000 0.000
0.000 5.687 0.000
0.000 0.000 5.687
Sr As Se
3 1 1
Direct
0.000 0.000 0.500
0.000 0.500 0.000
0.500 0.000 0.000
0.500 0.500 0.500
0.000 0.000 0.000
```

Output
ΔE_f (raw), eV/atom: -0.819
Symmetry: Pm-3m

***

Material: AgGe3Cl
Method: DFT, GGA-PBEsol
State: relaxed

Geometry as POSCAR:
```
AgGe3Cl
1.0
4.972 0.000 0.000
0.000 4.972 0.000
0.000 0.000 4.972
Ag Ge Cl
1 3 1
Direct
0.000 0.000 0.000
0.000 0.000 0.500
0.000 0.500 0.000
0.500 0.000 0.000
0.500 0.500 0.500
```

Output
ΔE_f (raw), eV/atom: 0.651
Symmetry: Pm-3m

***

| no. | E_tot (eV per atom) | M_tot (μB per cell) |
| --- | --- | --- |
| 1 | -5.59 | 0.00 |
| 2 | -3.23 | 0.00 |
| 3 | -3.71 | 0.00 |
| 4 | -3.38 | 0.01 |